First-principles (PBE) data for PrDy2Al3Ge2Pd after structural relaxation, as listed in the Open Quantum Materials Database.

Results
E_tot in eV per atom: -5.198
V in Å³ per cell: 372.8

abc: 4.3131 12.2461 7.0587
angles: 90.00 90.00 90.00
Closest atoms and distances in Å follow each position.
Space group Amm2 (No. 38)
Symmetry-distinct sites (fractional):
1 Pr 0.0000 0.0000 0.0000 [2 per cell]  1 Pd 3.01, 4 Ge 3.08, 6 Al 3.30-3.35
2 Dy 0.0000 0.2073 0.3792 [4 per cell]  1 Pd 2.88, 4 Ge 3.00-3.01
3 Al 0.5000 0.0000 0.3537 [2 per cell]  2 Pd 2.65, 2 Al 2.82, 2 Ge 2.83
4 Al 0.5000 0.1163 0.6986 [4 per cell]  2 Ge 2.71-2.83, 2 Pd 2.73, 2 Al 2.82-2.85
5 Ge 0.5000 0.1723 0.0876 [4 per cell]  3 Al 2.71-2.83, 4 Dy 3.00-3.01
6 Pd 0.0000 0.0000 0.5731 [2 per cell]  6 Al 2.65-2.73, 2 Dy 2.88